A relaxed Ho3TmIn12 crystal, computed with PBE.

```
Ho3TmIn12
1.0
4.622 0.000 0.000
0.000 4.622 0.000
0.000 0.000 18.593
Ho Tm In
3 1 12
Direct
0.000 0.000 0.000
0.000 0.000 0.251
0.000 0.000 0.749
0.000 0.000 0.500
0.000 0.500 0.125
0.000 0.500 0.376
0.000 0.500 0.624
0.000 0.500 0.875
0.500 0.000 0.125
0.500 0.000 0.376
0.500 0.000 0.624
0.500 0.000 0.875
0.500 0.500 0.000
0.500 0.500 0.250
0.500 0.500 0.500
0.500 0.500 0.750
```

Output
- N(E_F): 9.27 states/eV/f.u.
- Formation enthalpy at 0 K: -0.39 eV/atom
- V: 24.8 Å³/atom

---

A relaxed HoTmIn4 crystal, computed with PBE.

```
HoTmIn4
1.0
0.000 4.222 4.222
4.222 0.000 4.222
4.222 4.222 0.000
Ho Tm In
1 1 4
Direct
0.000 0.000 0.000
0.750 0.750 0.750
0.375 0.375 0.375
0.375 0.375 0.875
0.375 0.875 0.375
0.875 0.375 0.375
```

Output
- N(E_F): 3.83 states/eV/f.u.
- Formation enthalpy at 0 K: -0.28 eV/atom
- V: 25.1 Å³/atom

---

Number 1: spin magnetization 0.000 μB per cell. Number 2: spin magnetization 0.000 μB per cell.